[1]
VASP calculation (GGA-PBE) on crystalline LiPrEr2 at its relaxed geometry.

Summary:
Calculated density: 6.7 g/cm³
ΔE_f: 0.775 eV/f.u.
E above lowest polymorph: 0.111 eV/atom
E: -3.761 eV per atom
SG: P4/mmm (123)

Unit cell a=3.7065 b=5.6679 c=5.6679 alpha=90.00 beta=90.00 gamma=90.00
Last column: nearest neighbours and their distance in Å.
Element x y z (fractional)
Pr 0.5000 0.5000 0.5000  8 Er 3.39, 2 Pr 3.71
Li 0.5000 0.0000 0.0000  8 Er 3.39, 2 Li 3.71
Er 0.0000 0.0000 0.5000  4 Li 3.39, 4 Pr 3.39, 2 Er 3.71
Er 0.0000 0.5000 0.0000  4 Pr 3.39, 4 Li 3.39, 2 Er 3.71

[2]
VASP calculation (GGA-PBE) on crystalline CeZnRh3 at its relaxed geometry.

Summary:
Calculated density: 7.4 g/cm³
ΔE_f: 0.322 eV/f.u.
E: -5.788 eV per atom
SG: Cmcm (63)

Unit cell a=4.6962 b=7.8339 c=7.8339 alpha=126.47 beta=90.00 gamma=90.00
Last column: nearest neighbours and their distance in Å.
Element x y z (fractional)
Ce 0.7500 0.6050 0.3950  6 Rh 2.73-2.89
Ce 0.2500 0.3950 0.6050  6 Rh 2.73-2.89
Zn 0.7500 0.8299 0.1701  4 Rh 2.54-2.65
Zn 0.2500 0.1701 0.8299  4 Rh 2.54-2.65
Rh 0.7500 0.6112 0.7672  1 Zn 2.54, 3 Rh 2.67-2.72, 2 Ce 2.73
Rh 0.7500 0.2328 0.3888  1 Zn 2.54, 3 Rh 2.67-2.72, 2 Ce 2.73
Rh 0.2500 0.7672 0.6112  1 Zn 2.54, 3 Rh 2.67-2.72, 2 Ce 2.73
Rh 0.2500 0.3888 0.2328  1 Zn 2.54, 3 Rh 2.67-2.72, 2 Ce 2.73
Rh 0.0000 0.0000 0.0000  2 Rh 2.35
Rh 0.5000 0.0000 0.0000  2 Rh 2.35